# 1
A plane-wave DFT calculation with GGA-PBE was carried out for crystalline Ta5Cr3 at its relaxed geometry.

Cell: 5.4973 5.4973 4.4330 Å, 90.00 90.00 109.16°
Element x y z (fractional)
Ta: 0.0000 0.0000 0.0000
Ta: 0.5000 0.0000 0.0000
Ta: 0.0000 0.5000 0.0000
Ta: 0.7383 0.7383 0.5000
Ta: 0.2617 0.2617 0.5000
Cr: 0.5000 0.5000 0.0000
Cr: 0.7520 0.2480 0.5000
Cr: 0.2480 0.7520 0.5000

Values from the calculation:
Space-group type = No. 65
Offset from the most stable computed form = 0 meV/atom
E_form = 0.3 eV/f.u.

# 2
A plane-wave DFT calculation with GGA-PBE was carried out for crystalline LaSnRh2I at its relaxed geometry.

Cell: 4.9224 5.8780 4.9224 Å, 90.00 90.00 90.00°
Element x y z (fractional)
I: 0.0000 0.0000 0.0000
Rh: 0.0000 0.0000 0.5000
Rh: 0.5000 0.0000 0.0000
Sn: 0.5000 0.5000 0.5000
La: 0.0000 0.5000 0.0000

Values from the calculation:
Space-group type = No. 123
Formation energy from raw total energies = 0.3801 eV per atom

# 3
A plane-wave DFT calculation with GGA-PBE was carried out for crystalline YAl2GaCu2 at its relaxed geometry.

Cell: 4.4757 4.4757 5.5653 Å, 90.00 90.00 90.00°
Element x y z (fractional)
Y: 0.0000 0.0000 0.5000
Al: 0.5000 0.5000 0.7366
Al: 0.5000 0.5000 0.2634
Ga: 0.0000 0.0000 0.0000
Cu: 0.5000 0.0000 0.0000
Cu: 0.0000 0.5000 0.0000

Values from the calculation:
Space-group type = No. 123
E_form = -0.4 eV/f.u.

# 4
A plane-wave DFT calculation with GGA-PBE was carried out for crystalline PrGd2 at its relaxed geometry.

Cell: 4.2103 4.2103 6.4770 Å, 108.97 108.97 90.00°
Element x y z (fractional)
Pr: 0.0000 0.0000 0.0000
Gd: 0.6711 0.6711 0.3423
Gd: 0.3289 0.3289 0.6577

Values from the calculation:
Space-group type = No. 139
Offset from the most stable computed form = 0 meV/atom
E_form = 0.2 eV/f.u.

Number 1: total energy -10.97 eV per atom. Number 2: total energy -4.66 eV per atom. Number 3: total energy -4.27 eV per atom. Number 4: total energy -10.90 eV per atom.